(1)
Here is crystalline V2CoNi2S6 at its relaxed geometry from Alexandria. Energies are from PBE.

```
V2CoNi2S6
1.0
2.7379 -5.0624 0.0000
2.7379 5.0624 0.0000
-1.6673 0.0000 5.8796
V Co Ni S
2 1 2 6
direct
0.1310 0.8690 0.0000
0.8690 0.1310 0.0000
0.5000 0.5000 0.0000
0.3203 0.6797 0.5000
0.6797 0.3203 0.5000
0.0909 0.4498 0.7706
0.2744 0.2744 0.2655
0.4498 0.0909 0.7706
0.5502 0.9091 0.2294
0.7256 0.7256 0.7345
0.9091 0.5502 0.2294
```

Summary:
- spin magnetization (μB/atom) = 0.0719
- density of states at the Fermi level (states/eV/atom) = 0.68
- formation energy without anion corrections (meV per atom) = -445.0

=====

(2)
Here is crystalline ThSc4Pd at its relaxed geometry from Alexandria. Energies are from PBE.

```
ThSc4Pd
1.0
3.3899 0.0000 0.0000
0.0000 3.3899 0.0000
0.0000 0.0000 12.3850
Th Sc Pd
1 4 1
direct
0.0000 0.0000 0.0000
0.0000 0.0000 0.3725
0.0000 0.0000 0.6275
0.5000 0.5000 0.1900
0.5000 0.5000 0.8100
0.5000 0.5000 0.5000
```

Summary:
- spin magnetization (μB/atom) = 0.0001
- density of states at the Fermi level (states/eV/atom) = 1.17
- formation energy from the elements (eV per atom) = -0.26

=====

Question: What is the density of states at the Fermi level in the first record?
Answer: 0.68 states/eV/atom

=====

Question: density of states at the Fermi level of number 2 (ThSc4Pd)?
Answer: 1.17 states/eV/atom